1.
Below is a relaxed AcSc5Cd4 crystal, with properties calculated at the GGA-PBE level.

a = 3.5758 Å, b = 3.5758 Å, c = 19.0546 Å
α = 90.00°, β = 90.00°, γ = 90.00°
Positions (direct):
Ac  0.0000  0.0000  0.0000
Sc  0.5000  0.5000  0.1335
Sc  0.5000  0.5000  0.3168
Sc  0.5000  0.5000  0.5000
Sc  0.5000  0.5000  0.6832
Sc  0.5000  0.5000  0.8665
Cd  0.0000  0.0000  0.2241
Cd  0.0000  0.0000  0.4079
Cd  0.0000  0.0000  0.5921
Cd  0.0000  0.0000  0.7759

Properties
DFT formation energy, eV/f.u.: -2.0
Total moment, μB per cell: 0.0


2.
Below is a relaxed Ac4HoAs5 crystal, with properties calculated at the GGA-PBE level.

a = 6.3416 Å, b = 7.7375 Å, c = 7.7375 Å
α = 80.33°, β = 65.81°, γ = 65.81°
Positions (direct):
Ac  0.4038  0.3961  0.7986
Ac  0.7999  0.7986  0.6039
Ac  0.2024  0.2014  0.3961
Ac  0.5985  0.6039  0.2014
Ho  0.0012  0.0000  0.0000
As  0.9058  0.3822  0.8084
As  0.2879  0.8084  0.6178
As  0.7141  0.1916  0.3822
As  0.0963  0.6178  0.1916
As  0.5004  0.0000  0.0000

Properties
DFT formation energy, eV/f.u.: -14.5
Total moment, μB per cell: 0.0


3.
Below is a relaxed CeHoInGa crystal, with properties calculated at the GGA-PBE level.

a = 5.2507 Å, b = 5.2507 Å, c = 5.2507 Å
α = 60.00°, β = 60.00°, γ = 60.00°
Last column: magnetic moment on the atom in μB.
Positions (direct):
Ga  0.2500  0.2500  0.2500  0.02
Ho  0.5000  0.5000  0.5000  0.03
Ce  0.0000  0.0000  0.0000  0.75
In  0.7500  0.7500  0.7500  0.02

Properties
DFT formation energy, eV/f.u.: -1.7
Excess energy over the best structure of this formula in the dataset, kJ/mol of atoms: 3.7
Total moment, μB per cell: 0.9


4.
Below is a relaxed NdAl4ZnPd2 crystal, with properties calculated at the GGA-PBE level.

a = 4.3119 Å, b = 4.3119 Å, c = 9.2721 Å
α = 76.55°, β = 76.55°, γ = 60.00°
Positions (direct):
Nd  0.0000  0.0000  0.0000
Al  0.4030  0.4030  0.7910
Al  0.8728  0.8728  0.3815
Al  0.1272  0.1272  0.6185
Al  0.5970  0.5970  0.2090
Zn  0.5000  0.5000  0.5000
Pd  0.7662  0.7662  0.7013
Pd  0.2338  0.2338  0.2987

Properties
DFT formation energy, eV/f.u.: -4.5
Total moment, μB per cell: 0.0


What calculated volume values result from the calculations? In sequence: 24.4; 31.6; 25.6; 18.0 Å³/atom.